[1]
! Tb2SmZn4Si4, relaxed, DFT PBE-GGA; values from VASP
&SYSTEM
  ibrav = 0, nat = 11, ntyp = 4
/
ATOMIC_SPECIES
Si 28.09 Si.upf
Sm 150.36 Sm.upf
Tb 158.93 Tb.upf
Zn 65.41 Zn.upf
CELL_PARAMETERS angstrom
-7.222 -7.871 6.832
-10.720 -3.378 5.869
8.064 4.338 -8.772
ATOMIC_POSITIONS angstrom
Si -8.118 -5.090 5.747
Si -9.824 -6.159 6.954
Si -5.151 -5.260 2.974
Si -4.728 -1.651 0.955
Sm 0.000 0.000 0.000
Tb -2.157 -3.383 0.855
Tb -7.722 -3.528 3.074
Zn -4.492 -2.816 3.180
Zn -13.450 -8.433 9.521
Zn -6.860 -6.331 4.184
Zn -3.018 -0.579 -0.255
! Mass density = 6.79 g/cm3
! DFT total energy = -4.251 eV/atom
! Total moment = 0.003 μB/f.u.
! SG = Immm, No. 71

=====

[2]
! Ta, relaxed, DFT PBE-GGA; values from VASP
&SYSTEM
  ibrav = 0, nat = 8, ntyp = 1
/
ATOMIC_SPECIES
Ta 180.95 Ta.upf
CELL_PARAMETERS angstrom
-5.019 -1.274 1.166
-0.244 -3.023 -4.357
1.710 -4.173 2.800
ATOMIC_POSITIONS angstrom
Ta 0.000 0.000 0.000
Ta -2.571 -1.393 -0.506
Ta -2.693 -2.904 -2.685
Ta 0.305 -2.555 -1.478
Ta -0.400 -2.405 1.691
Ta -2.910 -3.042 2.274
Ta -1.777 -4.235 -0.196
Ta 1.160 -4.641 -0.079
! Mass density = 16.07 g/cm3
! Energy above the most stable polymorph in this dataset = 31.2 meV/atom
! DFT total energy = -11.821 eV/atom
! Total moment = 0.000 μB/f.u.
! SG = Pm-3n, No. 223

=====

[3]
! Sm2GaAu, relaxed, DFT PBE-GGA; values from VASP
&SYSTEM
  ibrav = 0, nat = 4, ntyp = 3
/
ATOMIC_SPECIES
Au 196.97 Au.upf
Ga 69.72 Ga.upf
Sm 150.36 Sm.upf
CELL_PARAMETERS angstrom
-1.077 -0.389 -4.435
-2.031 -5.566 0.981
-4.980 -3.014 1.474
ATOMIC_POSITIONS angstrom
Au -4.056 -4.964 1.420
Ga -3.478 -3.792 -1.188
Sm -1.538 -1.418 -1.867
Sm -6.027 -7.375 2.110
! Mass density = 9.22 g/cm3
! DFT total energy = -4.617 eV/atom
! Total moment = 0.069 μB/f.u.
! SG = Amm2, No. 38